# NaPmRh4O8, relaxed, DFT PBE-GGA
data_NaPmRh4O8
_chemical_formula_sum 'Na3 Pm3 Rh12 O24'
_cell_length_a 6.2844
_cell_length_b 6.2844
_cell_length_c 16.3821
_cell_angle_alpha 90.00
_cell_angle_beta 90.00
_cell_angle_gamma 120.00
_space_group_name_H-M_alt 'R 3 m'
_space_group_IT_number 160
_space_group_name_Hall 'R 3 -2"'
loop_
_atom_site_label
_atom_site_fract_x
_atom_site_fract_y
_atom_site_fract_z
Na1 0.0000 0.0000 0.0000
Pm1 0.0000 0.0000 0.6222
Rh1 0.0000 0.0000 0.4089
Rh2 0.1676 0.3352 0.8338
O1 0.0000 0.0000 0.2292
O2 0.0000 0.0000 0.7671
O3 0.0217 0.5108 0.7668
O4 0.1835 0.3669 0.5666
# * ΔE_f (raw): -1.135 eV per atom

# ScWBr2, relaxed, DFT PBE-GGA
data_ScWBr2
_chemical_formula_sum 'Sc3 W3 Br6'
_cell_length_a 3.4336
_cell_length_b 3.4336
_cell_length_c 28.3054
_cell_angle_alpha 90.00
_cell_angle_beta 90.00
_cell_angle_gamma 120.00
_space_group_name_H-M_alt 'R 3 m'
_space_group_IT_number 160
_space_group_name_Hall 'R 3 -2"'
loop_
_atom_site_label
_atom_site_fract_x
_atom_site_fract_y
_atom_site_fract_z
Sc1 0.0000 0.0000 0.0000
W1 0.0000 0.0000 0.7424
Br1 0.0000 0.0000 0.2672
Br2 0.0000 0.0000 0.4681
# * E above lowest polymorph: 0.000 eV/atom
# * ΔE_f (raw): -0.331 eV per atom

# BaSm2Cd6, relaxed, DFT PBE-GGA
data_BaSm2Cd6
_chemical_formula_sum 'Ba1 Sm2 Cd6'
_cell_length_a 8.9253
_cell_length_b 8.9253
_cell_length_c 3.5542
_cell_angle_alpha 90.00
_cell_angle_beta 90.00
_cell_angle_gamma 120.00
_space_group_name_H-M_alt 'P 6/m m m'
_space_group_IT_number 191
_space_group_name_Hall '-P 6 2'
loop_
_atom_site_label
_atom_site_fract_x
_atom_site_fract_y
_atom_site_fract_z
Ba1 0.0000 0.0000 0.0000
Sm1 0.3333 0.6667 0.0000
Cd1 0.0000 0.3405 0.5000
# * ΔE_f: -0.29 eV/atom

# MgTaAu, relaxed, DFT PBE-GGA
data_MgTaAu
_chemical_formula_sum 'Mg4 Ta4 Au4'
_cell_length_a 5.206
_cell_length_b 4.832
_cell_length_c 8.721
_cell_angle_alpha 90.00
_cell_angle_beta 90.00
_cell_angle_gamma 90.00
_space_group_name_H-M_alt 'P n m a'
_space_group_IT_number 62
_space_group_name_Hall '-P 2ac 2n'
loop_
_atom_site_label
_atom_site_fract_x
_atom_site_fract_y
_atom_site_fract_z
Mg1 0.157 0.250 0.035
Ta1 0.092 0.250 0.698
Au1 0.169 0.250 0.360
# * E above lowest polymorph: 0.179 eV/atom
# * ΔE_f: -0.02 eV/atom

# Ca3Br2N2, relaxed, DFT PBE-GGA
data_Ca3Br2N2
_chemical_formula_sum 'Ca6 Br4 N4'
_cell_length_a 5.861
_cell_length_b 7.998
_cell_length_c 7.123
_cell_angle_alpha 90.00
_cell_angle_beta 109.91
_cell_angle_gamma 90.00
_space_group_name_H-M_alt 'P 1 21/c 1'
_space_group_IT_number 14
_space_group_name_Hall '-P 2ybc'
loop_
_atom_site_label
_atom_site_fract_x
_atom_site_fract_y
_atom_site_fract_z
Ca1 0.000 0.000 0.000
Ca2 0.406 0.144 0.726
Br1 0.173 0.641 0.919
N1 0.389 0.024 0.011
# * ΔE_f (raw): -1.100 eV per atom

# LiFe2Ir, relaxed, DFT PBE-GGA
data_LiFe2Ir
_chemical_formula_sum 'Li3 Fe6 Ir3'
_cell_length_a 2.6497
_cell_length_b 2.6497
_cell_length_c 26.7498
_cell_angle_alpha 90.00
_cell_angle_beta 90.00
_cell_angle_gamma 120.00
_space_group_name_H-M_alt 'R -3 m'
_space_group_IT_number 166
_space_group_name_Hall '-R 3 2"'
loop_
_atom_site_label
_atom_site_fract_x
_atom_site_fract_y
_atom_site_fract_z
Li1 0.0000 0.0000 0.0000
Fe1 0.0000 0.0000 0.2477
Ir1 0.0000 0.0000 0.5000
# * ΔE_f: 0.16 eV/atom

# Tb2Ho2Al4Zn, relaxed, DFT PBE-GGA
data_Tb2Ho2Al4Zn
_chemical_formula_sum 'Tb4 Ho4 Al8 Zn2'
_cell_length_a 6.918
_cell_length_b 6.918
_cell_length_c 8.945
_cell_angle_alpha 90.00
_cell_angle_beta 90.00
_cell_angle_gamma 90.00
_space_group_name_H-M_alt 'I 4/m m m'
_space_group_IT_number 139
_space_group_name_Hall '-I 4 2'
loop_
_atom_site_label
_atom_site_fract_x
_atom_site_fract_y
_atom_site_fract_z
Tb1 0.000 0.000 0.197
Ho1 0.000 0.500 0.250
Al1 0.247 0.247 0.500
Zn1 0.000 0.000 0.500
# * ΔE_f: -0.13 eV/atom

# SrTa2Tc, relaxed, DFT PBE-GGA
data_SrTa2Tc
_chemical_formula_sum 'Sr4 Ta8 Tc4'
_cell_length_a 5.213
_cell_length_b 5.213
_cell_length_c 17.343
_cell_angle_alpha 90.00
_cell_angle_beta 90.00
_cell_angle_gamma 90.00
_space_group_name_H-M_alt 'I 41/a m d'
_space_group_IT_number 141
loop_
_space_group_symop_operation_xyz
'x,y,z'
'-x,-y,-z'
'-y+1/4,x+3/4,z+1/4'
'y+1/4,-x+3/4,-z+1/4'
'-x+1/2,-y,z+1/2'
'x+1/2,y,-z+1/2'
'y+1/4,-x+1/4,z+3/4'
'-y+1/4,x+1/4,-z+3/4'
'x,-y,-z'
'-x,y,z'
'-y+1/4,-x+1/4,-z+3/4'
'y+1/4,x+1/4,z+3/4'
'-x+1/2,y,-z+1/2'
'x+1/2,-y,z+1/2'
'y+1/4,x+3/4,-z+1/4'
'-y+1/4,-x+3/4,z+1/4'
'x+1/2,y+1/2,z+1/2'
'-x+1/2,-y+1/2,-z+1/2'
'-y+3/4,x+1/4,z+3/4'
'y+3/4,-x+1/4,-z+3/4'
'-x,-y+1/2,z'
'x,y+1/2,-z'
'y+3/4,-x+3/4,z+1/4'
'-y+3/4,x+3/4,-z+1/4'
'x+1/2,-y+1/2,-z+1/2'
'-x+1/2,y+1/2,z+1/2'
'-y+3/4,-x+3/4,-z+1/4'
'y+3/4,x+3/4,z+1/4'
'-x,y+1/2,-z'
'x,-y+1/2,z'
'y+3/4,x+1/4,-z+3/4'
'-y+3/4,-x+1/4,z+3/4'
loop_
_atom_site_label
_atom_site_fract_x
_atom_site_fract_y
_atom_site_fract_z
Sr1 0.000 0.250 0.375
Ta1 0.000 0.000 0.000
Tc1 0.000 0.250 0.875
# * E above lowest polymorph: 0.813 eV/atom
# * ΔE_f: 1.26 eV/atom

# Tb4UN4, relaxed, DFT PBE-GGA
data_Tb4UN4
_chemical_formula_sum 'Tb8 U2 N8'
_cell_length_a 7.764
_cell_length_b 7.764
_cell_length_c 4.982
_cell_angle_alpha 90.00
_cell_angle_beta 90.00
_cell_angle_gamma 90.00
_space_group_name_H-M_alt 'I 4/m'
_space_group_IT_number 87
_space_group_name_Hall '-I 4'
loop_
_atom_site_label
_atom_site_fract_x
_atom_site_fract_y
_atom_site_fract_z
Tb1 0.103 0.307 0.000
U1 0.000 0.000 0.500
N1 0.091 0.280 0.500
# * E above lowest polymorph: 0.000 eV/atom
# * ΔE_f (raw): -1.332 eV per atom

# LaY2Tl4, relaxed, DFT PBE-GGA
data_LaY2Tl4
_chemical_formula_sum 'La1 Y2 Tl4'
_cell_length_a 5.298
_cell_length_b 5.298
_cell_length_c 7.767
_cell_angle_alpha 90.00
_cell_angle_beta 90.00
_cell_angle_gamma 90.00
_space_group_name_H-M_alt 'P 4/m m m'
_space_group_IT_number 123
_space_group_name_Hall '-P 4 2'
loop_
_atom_site_label
_atom_site_fract_x
_atom_site_fract_y
_atom_site_fract_z
La1 0.000 0.000 0.000
Y1 0.000 0.000 0.500
Y2 0.500 0.500 0.000
Tl1 0.000 0.500 0.275
# * ΔE_f: -0.23 eV/atom

# Li8Zn5Pd, relaxed, DFT PBE-GGA
data_Li8Zn5Pd
_chemical_formula_sum 'Li16 Zn10 Pd2'
_cell_length_a 7.620
_cell_length_b 7.620
_cell_length_c 7.738
_cell_angle_alpha 90.00
_cell_angle_beta 90.00
_cell_angle_gamma 90.00
_space_group_name_H-M_alt 'I -4'
_space_group_IT_number 82
_space_group_name_Hall 'I -4'
loop_
_atom_site_label
_atom_site_fract_x
_atom_site_fract_y
_atom_site_fract_z
Li1 0.058 0.163 0.177
Li2 0.107 0.302 0.506
Zn1 0.000 0.500 0.250
Zn2 0.106 0.309 0.843
Pd1 0.000 0.000 0.500
# * ΔE_f: -0.09 eV/atom

# Ca2SnHg4Pb, relaxed, DFT PBE-GGA
data_Ca2SnHg4Pb
_chemical_formula_sum 'Ca6 Sn3 Hg12 Pb3'
_cell_length_a 5.2903
_cell_length_b 5.2903
_cell_length_c 26.0103
_cell_angle_alpha 90.00
_cell_angle_beta 90.00
_cell_angle_gamma 120.00
_space_group_name_H-M_alt 'R -3 m'
_space_group_IT_number 166
_space_group_name_Hall '-R 3 2"'
loop_
_atom_site_label
_atom_site_fract_x
_atom_site_fract_y
_atom_site_fract_z
Ca1 0.0000 0.0000 0.2487
Sn1 0.0000 0.0000 0.5000
Hg1 0.0000 0.0000 0.1259
Hg2 0.0000 0.0000 0.3759
Pb1 0.0000 0.0000 0.0000
# * ΔE_f: -0.36 eV/atom

# SmDyPb2, relaxed, DFT PBE-GGA
data_SmDyPb2
_chemical_formula_sum 'Sm1 Dy1 Pb2'
_cell_length_a 4.555
_cell_length_b 4.479
_cell_length_c 6.311
_cell_angle_alpha 90.00
_cell_angle_beta 111.09
_cell_angle_gamma 90.00
_space_group_name_H-M_alt 'P 1 m 1'
_space_group_IT_number 6
_space_group_name_Hall 'P -2y'
loop_
_atom_site_label
_atom_site_fract_x
_atom_site_fract_y
_atom_site_fract_z
Sm1 0.000 0.000 0.000
Dy1 0.259 0.500 0.522
Pb1 0.531 0.500 0.062
Pb2 0.728 0.000 0.461
# * ΔE_f: -0.51 eV/atom

# PrYTe2, relaxed, DFT PBE-GGA
data_PrYTe2
_chemical_formula_sum 'Pr4 Y4 Te8'
_cell_length_a 7.704
_cell_length_b 7.704
_cell_length_c 7.704
_cell_angle_alpha 90.00
_cell_angle_beta 90.00
_cell_angle_gamma 90.00
_space_group_name_H-M_alt 'F m -3 m'
_space_group_IT_number 225
_space_group_name_Hall '-F 4 2 3'
loop_
_atom_site_label
_atom_site_fract_x
_atom_site_fract_y
_atom_site_fract_z
Pr1 0.000 0.000 0.000
Y1 0.000 0.000 0.500
Te1 0.250 0.250 0.250
# * E above lowest polymorph: 0.151 eV/atom
# * ΔE_f (raw): -1.254 eV per atom

# Rb3Pr3AlS8, relaxed, DFT PBE-GGA
data_Rb3Pr3AlS8
_chemical_formula_sum 'Rb6 Pr6 Al2 S16'
_cell_length_a 14.231
_cell_length_b 8.208
_cell_length_c 9.184
_cell_angle_alpha 90.00
_cell_angle_beta 121.13
_cell_angle_gamma 90.00
_space_group_name_H-M_alt 'C 1 2/m 1'
_space_group_IT_number 12
_space_group_name_Hall '-C 2y'
loop_
_atom_site_label
_atom_site_fract_x
_atom_site_fract_y
_atom_site_fract_z
Rb1 0.000 0.000 0.000
Rb2 0.250 0.250 0.000
Pr1 0.000 0.500 0.500
Pr2 0.250 0.250 0.500
Al1 0.000 0.000 0.500
S1 0.014 0.221 0.321
S2 0.207 0.000 0.679
S3 0.233 0.500 0.700
# * ΔE_f (raw): -1.496 eV per atom